1.
Density functional theory data (PBE) for a geometry-optimized TbTm2Se4 structure.

The structure belongs to space group Imma (No. 74); the cell edges are 8.084, 8.156 and 11.288 Å and the angles 90.00°, 90.00° and 90.00°. The distinct sites, in fractional coordinates, are Tb at (0.000, 0.000, 0.000), Tm at (0.000, 0.000, 0.500), Tm at (0.250, 0.250, 0.250), Se at (0.000, 0.006, 0.252) and Se at (0.246, 0.250, 0.504).

As for the formation energy without anion corrections: -1865 meV per atom. The density comes out at 7.25 g/cm3. As for the polymorph energy (0 for the lowest one): 0 meV/atom. As for the total DFT energy (no corrections): -0.426 Ry per atom. The total magnetization comes out at 0.00 μB/cell.

2.
Density functional theory data (PBE) for a geometry-optimized NaMoP structure.

The structure belongs to space group P4/nmm (No. 129, origin choice 2); the cell edges are 3.893, 3.893 and 7.347 Å and the angles 90.00°, 90.00° and 90.00°. The distinct sites, in fractional coordinates, are Na at (0.250, 0.250, 0.136), Mo at (0.250, 0.750, 0.500) and P at (0.250, 0.250, 0.718).

The calculated formation energy comes out at -0.373 eV per atom. The density comes out at 4.47 g/cm3. As for the total DFT energy (no corrections): -0.458 Ry per atom. The total magnetization comes out at 0.00 μB/cell.

3.
Density functional theory data (PBE) for a geometry-optimized PuHgP2 structure.

The structure belongs to space group R-3m (No. 166, hexagonal axes); the cell edges are 4.2458, 4.2458 and 22.1873 Å and the angles 90.00°, 90.00° and 120.00°. The distinct sites, in fractional coordinates, are Pu at (0.0000, 0.0000, 0.0000), Hg at (0.0000, 0.0000, 0.5000) and P at (0.0000, 0.0000, 0.3912).

The calculated formation energy comes out at -0.272 eV per atom. The density comes out at 7.29 g/cm3. As for the total DFT energy (no corrections): -0.488 Ry per atom. The total magnetization comes out at 12.00 μB/cell.